Entry 1:
# SmLuScIn

A relaxed SmLuScIn crystal (PBE, the Alexandria database).

Mass density   7.55 g cm⁻³
Total DFT energy (no corrections)   -4.716 eV per atom

Unit cell a=5.3246 b=5.3246 c=5.3246 alpha=60.00 beta=60.00 gamma=60.00
Fractional positions:
Lu (0.2500, 0.2500, 0.2500)
Sc (0.0000, 0.0000, 0.0000)
In (0.7500, 0.7500, 0.7500)
Sm (0.5000, 0.5000, 0.5000)

***

Entry 2:
# TbLuScIn

A relaxed TbLuScIn crystal (PBE, the Alexandria database).

Mass density   7.75 g cm⁻³
Total DFT energy (no corrections)   -4.700 eV per atom

Unit cell a=5.3091 b=5.3091 c=5.3091 alpha=60.00 beta=60.00 gamma=60.00
Fractional positions:
Sc (0.2500, 0.2500, 0.2500)
Tb (0.5000, 0.5000, 0.5000)
Lu (0.0000, 0.0000, 0.0000)
In (0.7500, 0.7500, 0.7500)

***

Entry 3:
# LuScInTc

A relaxed LuScInTc crystal (PBE, the Alexandria database).

Mass density   8.75 g cm⁻³
Total DFT energy (no corrections)   -6.233 eV per atom

Unit cell a=4.8798 b=4.8798 c=4.8798 alpha=60.00 beta=60.00 gamma=60.00
Fractional positions:
Sc (0.7500, 0.7500, 0.7500)
Tc (0.5000, 0.5000, 0.5000)
Lu (0.2500, 0.2500, 0.2500)
In (0.0000, 0.0000, 0.0000)

***

Entry 4:
# LuScTiIn

A relaxed LuScTiIn crystal (PBE, the Alexandria database).

Mass density   6.91 g cm⁻³
Total DFT energy (no corrections)   -5.484 eV per atom

Unit cell a=5.0650 b=5.0650 c=5.0650 alpha=60.00 beta=60.00 gamma=60.00
Fractional positions:
Ti (0.0000, 0.0000, 0.0000)
Lu (0.7500, 0.7500, 0.7500)
In (0.5000, 0.5000, 0.5000)
Sc (0.2500, 0.2500, 0.2500)

***

Number 1: energy of formation -0.14 eV per atom. Number 2: energy of formation -0.14 eV per atom. Number 3: energy of formation -0.24 eV per atom. Number 4: energy of formation -0.11 eV per atom.